Entry from Alexandria via LeMat-Bulk: a relaxed structure of Li6AcZn2 (PBE).

abc: 4.289 4.289 10.576
angles: 90.00 90.00 90.00
Sites, in units of the cell vectors:
Li1 0.000 0.500 0.296
Li2 0.500 0.000 0.296
Li3 0.000 0.500 0.704
Li4 0.500 0.000 0.704
Li5 0.500 0.500 0.500
Li6 0.000 0.000 0.500
Ac1 0.000 0.000 0.000
Zn1 0.500 0.500 0.137
Zn2 0.500 0.500 0.863

Offset from the most stable computed form = 0 meV per atom
Density of states at the Fermi level = 3.6 states/eV/f.u.
Formation enthalpy at 0 K = -85 meV/atom
Calculated volume = 194.5 Å³ per cell
Calculated total energy = -2.10 eV per atom

=====

Entry from Alexandria via LeMat-Bulk: a relaxed structure of LiAc2Zn (PBE).

abc: 5.605 5.605 5.605
angles: 60.00 60.00 60.00
Sites, in units of the cell vectors:
Ac1 0.250 0.250 0.250
Ac2 0.750 0.750 0.750
Zn1 0.500 0.500 0.500
Li1 0.000 0.000 0.000

Offset from the most stable computed form = 19 meV per atom
Density of states at the Fermi level = 5.4 states/eV/f.u.
Formation enthalpy at 0 K = -81 meV/atom
Calculated volume = 124.5 Å³ per cell
Calculated total energy = -2.93 eV per atom

=====

Entry from Alexandria via LeMat-Bulk: a relaxed structure of Li2AcZn (PBE).

abc: 5.587 4.441 4.441
angles: 90.00 90.00 90.00
Sites, in units of the cell vectors:
Ac1 0.500 0.000 0.000
Zn1 0.500 0.500 0.500
Li1 0.000 0.000 0.500
Li2 0.000 0.500 0.000

Offset from the most stable computed form = 188 meV per atom
Density of states at the Fermi level = 4.3 states/eV/f.u.
Formation enthalpy at 0 K = 100 meV/atom
Calculated volume = 110.2 Å³ per cell
Calculated total energy = -2.20 eV per atom

=====

Entry from Alexandria via LeMat-Bulk: a relaxed structure of Li4Ac3Zn4 (PBE).

abc: 3.864 4.701 15.446
angles: 81.15 82.84 90.05
Sites, in units of the cell vectors:
Li1 0.595 0.094 0.812
Li2 0.252 0.252 0.495
Li3 0.748 0.748 0.505
Li4 0.405 0.906 0.188
Ac1 0.146 0.644 0.710
Ac2 0.854 0.356 0.290
Ac3 0.000 0.000 0.000
Zn1 0.549 0.549 0.902
Zn2 0.451 0.451 0.098
Zn3 0.312 0.813 0.375
Zn4 0.688 0.187 0.625

Offset from the most stable computed form = 9 meV per atom
Density of states at the Fermi level = 9.3 states/eV/f.u.
Formation enthalpy at 0 K = -125 meV/atom
Calculated volume = 275.0 Å³ per cell
Calculated total energy = -2.41 eV per atom

=====

Entry from Alexandria via LeMat-Bulk: a relaxed structure of LiAcZn2 (PBE).

abc: 3.644 3.644 7.011
angles: 90.00 90.00 90.00
Sites, in units of the cell vectors:
Ac1 0.500 0.500 0.500
Zn1 0.000 0.000 0.811
Zn2 0.000 0.000 0.189
Li1 0.500 0.500 0.000

Offset from the most stable computed form = 104 meV per atom
Density of states at the Fermi level = 3.5 states/eV/f.u.
Formation enthalpy at 0 K = -112 meV/atom
Calculated volume = 93.1 Å³ per cell
Calculated total energy = -2.25 eV per atom

=====

Entry from Alexandria via LeMat-Bulk: a relaxed structure of LiAc2Zn (PBE).

abc: 3.972 3.972 8.015
angles: 90.00 90.00 90.00
Sites, in units of the cell vectors:
Ac1 0.000 0.000 0.767
Ac2 0.000 0.000 0.233
Zn1 0.500 0.500 0.000
Li1 0.500 0.500 0.500

Offset from the most stable computed form = 0 meV per atom
Density of states at the Fermi level = 4.5 states/eV/f.u.
Formation enthalpy at 0 K = -100 meV/atom
Calculated volume = 126.5 Å³ per cell
Calculated total energy = -2.95 eV per atom

=====

Entry from Alexandria via LeMat-Bulk: a relaxed structure of Li4Ac3Zn4 (PBE).

abc: 4.651 7.817 8.780
angles: 116.43 105.36 90.00
Sites, in units of the cell vectors:
Li1 0.325 0.138 0.651
Li2 0.675 0.487 0.349
Li3 0.675 0.862 0.349
Li4 0.325 0.513 0.651
Ac1 0.127 0.127 0.254
Ac2 0.873 0.873 0.746
Ac3 0.000 0.500 0.000
Zn1 0.218 0.718 0.436
Zn2 0.782 0.282 0.564
Zn3 0.500 0.821 0.000
Zn4 0.500 0.179 0.000

Offset from the most stable computed form = 0 meV per atom
Density of states at the Fermi level = 10.4 states/eV/f.u.
Formation enthalpy at 0 K = -135 meV/atom
Calculated volume = 273.0 Å³ per cell
Calculated total energy = -2.41 eV per atom

=====

Entry from Alexandria via LeMat-Bulk: a relaxed structure of LiAcZn2 (PBE).

abc: 4.522 4.522 5.947
angles: 67.65 67.65 60.00
Sites, in units of the cell vectors:
Ac1 0.000 0.000 0.000
Zn1 0.800 0.800 0.600
Zn2 0.200 0.200 0.400
Li1 0.500 0.500 0.500

Offset from the most stable computed form = 0 meV per atom
Density of states at the Fermi level = 2.3 states/eV/f.u.
Formation enthalpy at 0 K = -215 meV/atom
Calculated volume = 94.6 Å³ per cell
Calculated total energy = -2.36 eV per atom

=====

Entry from Alexandria via LeMat-Bulk: a relaxed structure of LiAc2Zn (PBE).

abc: 3.751 3.751 12.409
angles: 81.31 81.31 60.00
Sites, in units of the cell vectors:
Ac1 0.090 0.090 0.731
Ac2 0.910 0.910 0.269
Zn1 0.000 0.000 0.000
Li1 0.500 0.500 0.500

Offset from the most stable computed form = 484 meV per atom
Density of states at the Fermi level = 4.9 states/eV/f.u.
Formation enthalpy at 0 K = 384 meV/atom
Calculated volume = 148.9 Å³ per cell
Calculated total energy = -2.47 eV per atom

=====

Entry from Alexandria via LeMat-Bulk: a relaxed structure of Li2AcZn6 (PBE).

abc: 8.202 8.202 8.202
angles: 60.00 60.00 60.00
Sites, in units of the cell vectors:
Li1 0.125 0.125 0.125
Li2 0.125 0.625 0.125
Li3 0.125 0.125 0.625
Li4 0.625 0.125 0.125
Ac1 0.500 0.500 0.500
Ac2 0.750 0.750 0.750
Zn1 0.232 0.232 0.768
Zn2 0.768 0.768 0.232
Zn3 0.232 0.768 0.232
Zn4 0.232 0.768 0.768
Zn5 0.482 0.482 0.018
Zn6 0.482 0.018 0.018
Zn7 0.768 0.232 0.768
Zn8 0.018 0.018 0.482
Zn9 0.482 0.018 0.482
Zn10 0.018 0.482 0.482
Zn11 0.768 0.232 0.232
Zn12 0.018 0.482 0.018

Offset from the most stable computed form = 314 meV per atom
Density of states at the Fermi level = 5.1 states/eV/f.u.
Formation enthalpy at 0 K = 236 meV/atom
Calculated volume = 390.2 Å³ per cell
Calculated total energy = -1.50 eV per atom

=====

Entry from Alexandria via LeMat-Bulk: a relaxed structure of Li2AcZn6 (PBE).

abc: 3.551 7.841 7.841
angles: 120.00 90.00 90.00
Sites, in units of the cell vectors:
Li1 0.000 0.333 0.667
Li2 0.000 0.667 0.333
Ac1 0.000 0.000 0.000
Zn1 0.500 0.345 0.345
Zn2 0.500 0.655 0.655
Zn3 0.500 0.000 0.655
Zn4 0.500 0.655 0.000
Zn5 0.500 0.345 0.000
Zn6 0.500 0.000 0.345

Offset from the most stable computed form = 0 meV per atom
Density of states at the Fermi level = 1.6 states/eV/f.u.
Formation enthalpy at 0 K = -77 meV/atom
Calculated volume = 189.1 Å³ per cell
Calculated total energy = -1.81 eV per atom

=====

Entry from Alexandria via LeMat-Bulk: a relaxed structure of Li6Ac2Zn3 (PBE).

abc: 4.103 8.536 8.536
angles: 120.00 90.00 90.00
Sites, in units of the cell vectors:
Li1 0.500 0.727 0.727
Li2 0.500 0.000 0.273
Li3 0.000 0.193 0.193
Li4 0.000 0.807 0.000
Li5 0.500 0.273 0.000
Li6 0.000 0.000 0.807
Ac1 0.000 0.667 0.333
Ac2 0.000 0.333 0.667
Zn1 0.500 0.395 0.395
Zn2 0.500 0.605 0.000
Zn3 0.500 0.000 0.605

Density of states at the Fermi level = 7.5 states/eV/f.u.
Formation enthalpy at 0 K = -78 meV/atom
Calculated volume = 258.9 Å³ per cell
Calculated total energy = -2.22 eV per atom